<a>
VASP calculation (PBE-GGA) on a relaxed structure of SiAgSe2N.

Cell: 5.201 5.201 3.961 Å, 90.00 90.00 90.00°
Space group P4/mmm (No. 123)
Inequivalent atoms, fractional coordinates:
Si 0.000 0.000 0.000 x1
Ag 0.500 0.500 0.500 x1
Se 0.000 0.500 0.500 x2
N 0.500 0.500 0.000 x1

Its calculated volume is 21.43 A^3/atom.


<b>
VASP calculation (PBE-GGA) on a relaxed structure of SiAgSe2N.

Cell: 5.300 5.300 3.218 Å, 90.00 90.00 90.00°
Space group P4/mmm (No. 123)
Inequivalent atoms, fractional coordinates:
Si 0.000 0.000 0.000 x1
Ag 0.500 0.500 0.500 x1
Se 0.000 0.500 0.000 x2
N 0.000 0.000 0.500 x1

Its calculated volume is 18.08 A^3/atom.


Energies relative to the most stable structure, in meV per atom: <a> 1031; <b> 0.


<a>
VASP calculation (PBE-GGA) on a relaxed structure of AgSnSe2N.

Cell: 5.292 5.292 4.036 Å, 90.00 90.00 90.00°
Space group P4/mmm (No. 123)
Inequivalent atoms, fractional coordinates:
Ag 0.000 0.000 0.000 x1
Sn 0.500 0.500 0.500 x1
Se 0.000 0.500 0.000 x2
N 0.000 0.000 0.500 x1

Its calculated volume is 22.61 A^3/atom.


<b>
VASP calculation (PBE-GGA) on a relaxed structure of AgSnSe2N.

Cell: 5.402 5.402 4.064 Å, 90.00 90.00 90.00°
Space group P4/mmm (No. 123)
Inequivalent atoms, fractional coordinates:
Ag 0.000 0.000 0.000 x1
Sn 0.500 0.500 0.500 x1
Se 0.000 0.500 0.500 x2
N 0.500 0.500 0.000 x1

Its calculated volume is 23.72 A^3/atom.


Energies relative to the most stable structure, in meV per atom: <a> 25; <b> 0.


<a>
VASP calculation (PBE-GGA) on a relaxed structure of SrAgSeN2.

Cell: 4.332 4.332 5.345 Å, 90.00 90.00 90.00°
Space group P4/mmm (No. 123)
Inequivalent atoms, fractional coordinates:
Sr 0.000 0.000 0.000 x1
Ag 0.500 0.500 0.500 x1
Se 0.500 0.500 0.000 x1
N 0.000 0.500 0.500 x2

Its calculated volume is 20.06 A^3/atom.


<b>
VASP calculation (PBE-GGA) on a relaxed structure of SrAgSeN2.

Cell: 4.821 4.821 6.202 Å, 90.00 90.00 90.00°
Space group P4/mmm (No. 123)
Inequivalent atoms, fractional coordinates:
Sr 0.000 0.000 0.000 x1
Ag 0.500 0.500 0.500 x1
Se 0.000 0.000 0.500 x1
N 0.000 0.500 0.000 x2

Its calculated volume is 28.83 A^3/atom.


Energies relative to the most stable structure, in meV per atom: <a> 0; <b> 587.